1.
# Ba2InBr | Alexandria via LeMat-Bulk | PBE-GGA | optimized geometry
data_Ba2InBr
_cell_length_a 4.867
_cell_length_b 4.867
_cell_length_c 14.363
_cell_angle_alpha 90.00
_cell_angle_beta 90.00
_cell_angle_gamma 90.00
_space_group_name_H-M_alt 'I -4 m 2'
_space_group_IT_number 119
_space_group_name_Hall 'I -4 -2'
loop_
_atom_site_label
_atom_site_type_symbol
_atom_site_fract_x
_atom_site_fract_y
_atom_site_fract_z
_atom_site_occupancy
Ba1 Ba 0.000 0.000 0.000 1
Ba2 Ba 0.000 0.500 0.250 1
In1 In 0.000 0.000 0.500 1
Br1 Br 0.000 0.500 0.750 1
# Excess energy over the best structure of this formula in the dataset ... 260.4 meV per atom

2.
## Ba3InBr2 (PBE-GGA)

Data for Ba3InBr2 after structural relaxation.

CIF file:
```
data_Ba3InBr2
_cell_length_a 19.737
_cell_length_b 4.641
_cell_length_c 12.047
_cell_angle_alpha 90.00
_cell_angle_beta 109.84
_cell_angle_gamma 90.00
_space_group_name_H-M_alt 'C 1 2/m 1'
_space_group_IT_number 12
loop_
_space_group_symop_operation_xyz
'x,y,z'
'-x,-y,-z'
'-x,y,-z'
'x,-y,z'
'x+1/2,y+1/2,z'
'-x+1/2,-y+1/2,-z'
'-x+1/2,y+1/2,-z'
'x+1/2,-y+1/2,z'
loop_
_atom_site_label
_atom_site_type_symbol
_atom_site_fract_x
_atom_site_fract_y
_atom_site_fract_z
_atom_site_occupancy
Ba1 Ba 0.034 0.000 0.303 1
Ba2 Ba 0.134 0.500 0.026 1
Ba3 Ba 0.185 0.500 0.642 1
In1 In 0.000 0.000 0.000 1
In2 In 0.000 0.500 0.500 1
Br1 Br 0.183 0.000 0.845 1
Br2 Br 0.189 0.500 0.355 1
```

3.
# BaInBr4 | Alexandria via LeMat-Bulk | PBE-GGA | optimized geometry
data_BaInBr4
_cell_length_a 9.361
_cell_length_b 9.361
_cell_length_c 9.361
_cell_angle_alpha 90.00
_cell_angle_beta 90.00
_cell_angle_gamma 90.00
_space_group_name_H-M_alt 'F -4 3 m'
_space_group_IT_number 216
_space_group_name_Hall 'F -4 2 3'
loop_
_atom_site_label
_atom_site_type_symbol
_atom_site_fract_x
_atom_site_fract_y
_atom_site_fract_z
_atom_site_occupancy
Ba1 Ba 0.000 0.000 0.000 1
In1 In 0.250 0.250 0.250 1
Br1 Br 0.125 0.125 0.625 1
# Excess energy over the best structure of this formula in the dataset ... 761.6 meV per atom

4.
# Ba2InBr2 | Alexandria via LeMat-Bulk | PBE-GGA | optimized geometry
data_Ba2InBr2
_cell_length_a 9.560
_cell_length_b 9.560
_cell_length_c 3.993
_cell_angle_alpha 90.00
_cell_angle_beta 90.00
_cell_angle_gamma 90.00
_space_group_name_H-M_alt 'P 4/m b m'
_space_group_IT_number 127
_space_group_name_Hall '-P 4 2ab'
loop_
_atom_site_label
_atom_site_type_symbol
_atom_site_fract_x
_atom_site_fract_y
_atom_site_fract_z
_atom_site_occupancy
Ba1 Ba 0.179 0.321 0.000 1
In1 In 0.000 0.000 0.500 1
Br1 Br 0.124 0.624 0.500 1
# Excess energy over the best structure of this formula in the dataset ... 0.0 meV per atom

5.
# Ba2InBr | Alexandria via LeMat-Bulk | PBE-GGA | optimized geometry
data_Ba2InBr
_cell_length_a 8.627
_cell_length_b 8.627
_cell_length_c 8.627
_cell_angle_alpha 90.00
_cell_angle_beta 90.00
_cell_angle_gamma 90.00
_space_group_name_H-M_alt 'F m -3 m'
_space_group_IT_number 225
_space_group_name_Hall '-F 4 2 3'
loop_
_atom_site_label
_atom_site_type_symbol
_atom_site_fract_x
_atom_site_fract_y
_atom_site_fract_z
_atom_site_occupancy
Ba1 Ba 0.250 0.250 0.250 1
In1 In 0.000 0.000 0.000 1
Br1 Br 0.000 0.000 0.500 1
# Excess energy over the best structure of this formula in the dataset ... 207.5 meV per atom

6.
# Ba2InBr2 | Alexandria via LeMat-Bulk | PBE-GGA | optimized geometry
data_Ba2InBr2
_cell_length_a 6.447
_cell_length_b 6.447
_cell_length_c 9.851
_cell_angle_alpha 90.00
_cell_angle_beta 90.00
_cell_angle_gamma 90.00
_space_group_name_H-M_alt 'I 4/m m m'
_space_group_IT_number 139
_space_group_name_Hall '-I 4 2'
loop_
_atom_site_label
_atom_site_type_symbol
_atom_site_fract_x
_atom_site_fract_y
_atom_site_fract_z
_atom_site_occupancy
Ba1 Ba 0.000 0.500 0.250 1
In1 In 0.000 0.000 0.000 1
Br1 Br 0.000 0.000 0.322 1
# Excess energy over the best structure of this formula in the dataset ... 25.5 meV per atom

7.
# BaInBr4 | Alexandria via LeMat-Bulk | PBE-GGA | optimized geometry
data_BaInBr4
_cell_length_a 5.646
_cell_length_b 10.388
_cell_length_c 9.462
_cell_angle_alpha 90.00
_cell_angle_beta 106.28
_cell_angle_gamma 90.00
_space_group_name_H-M_alt 'P 1 21/m 1'
_space_group_IT_number 11
loop_
_space_group_symop_operation_xyz
'x,y,z'
'-x,-y,-z'
'-x,y+1/2,-z'
'x,-y+1/2,z'
loop_
_atom_site_label
_atom_site_type_symbol
_atom_site_fract_x
_atom_site_fract_y
_atom_site_fract_z
_atom_site_occupancy
Ba1 Ba 0.055 0.250 0.097 1
In1 In 0.218 0.750 0.418 1
Br1 Br 0.111 0.562 0.194 1
Br2 Br 0.264 0.250 0.542 1
Br3 Br 0.375 0.750 0.756 1
# Excess energy over the best structure of this formula in the dataset ... 0.0 meV per atom

8.
# Ba2InBr | Alexandria via LeMat-Bulk | PBE-GGA | optimized geometry
data_Ba2InBr
_cell_length_a 8.933
_cell_length_b 8.933
_cell_length_c 9.475
_cell_angle_alpha 90.00
_cell_angle_beta 90.00
_cell_angle_gamma 90.00
_space_group_name_H-M_alt 'I -4 2 d'
_space_group_IT_number 122
_space_group_name_Hall 'I -4 2bw'
loop_
_atom_site_label
_atom_site_type_symbol
_atom_site_fract_x
_atom_site_fract_y
_atom_site_fract_z
_atom_site_occupancy
Ba1 Ba 0.231 0.250 0.125 1
In1 In 0.000 0.000 0.500 1
Br1 Br 0.000 0.000 0.000 1
# Excess energy over the best structure of this formula in the dataset ... 204.8 meV per atom

9.
# Ba3InBr | Alexandria via LeMat-Bulk | PBE-GGA | optimized geometry
data_Ba3InBr
_cell_length_a 9.721
_cell_length_b 4.933
_cell_length_c 9.836
_cell_angle_alpha 90.00
_cell_angle_beta 104.77
_cell_angle_gamma 90.00
_space_group_name_H-M_alt 'P 1 21/m 1'
_space_group_IT_number 11
loop_
_space_group_symop_operation_xyz
'x,y,z'
'-x,-y,-z'
'-x,y+1/2,-z'
'x,-y+1/2,z'
loop_
_atom_site_label
_atom_site_type_symbol
_atom_site_fract_x
_atom_site_fract_y
_atom_site_fract_z
_atom_site_occupancy
Ba1 Ba 0.074 0.250 0.265 1
Ba2 Ba 0.318 0.250 0.970 1
Ba3 Ba 0.391 0.750 0.617 1
In1 In 0.336 0.750 0.231 1
Br1 Br 0.135 0.250 0.627 1
# Excess energy over the best structure of this formula in the dataset ... 0.0 meV per atom

10.
# BaIn2Br8 | Alexandria via LeMat-Bulk | PBE-GGA | optimized geometry
data_BaIn2Br8
_cell_length_a 14.568
_cell_length_b 9.390
_cell_length_c 7.530
_cell_angle_alpha 90.00
_cell_angle_beta 103.31
_cell_angle_gamma 90.00
_space_group_name_H-M_alt 'C 1 2/m 1'
_space_group_IT_number 12
loop_
_space_group_symop_operation_xyz
'x,y,z'
'-x,-y,-z'
'-x,y,-z'
'x,-y,z'
'x+1/2,y+1/2,z'
'-x+1/2,-y+1/2,-z'
'-x+1/2,y+1/2,-z'
'x+1/2,-y+1/2,z'
loop_
_atom_site_label
_atom_site_type_symbol
_atom_site_fract_x
_atom_site_fract_y
_atom_site_fract_z
_atom_site_occupancy
Ba1 Ba 0.000 0.000 0.000 1
In1 In 0.206 0.000 0.679 1
Br1 Br 0.114 0.211 0.772 1
Br2 Br 0.121 0.500 0.182 1
Br3 Br 0.190 0.000 0.331 1
# Excess energy over the best structure of this formula in the dataset ... 23.4 meV per atom

11.
## Ba2InBr5 (PBE-GGA)

Data for Ba2InBr5 after structural relaxation.

CIF file:
```
data_Ba2InBr5
_cell_length_a 14.341
_cell_length_b 9.525
_cell_length_c 8.624
_cell_angle_alpha 90.00
_cell_angle_beta 90.00
_cell_angle_gamma 90.00
_space_group_name_H-M_alt 'P n m a'
_space_group_IT_number 62
loop_
_space_group_symop_operation_xyz
'x,y,z'
'-x,-y,-z'
'-x+1/2,-y,z+1/2'
'x+1/2,y,-z+1/2'
'x+1/2,-y+1/2,-z+1/2'
'-x+1/2,y+1/2,z+1/2'
'-x,y+1/2,-z'
'x,-y+1/2,z'
loop_
_atom_site_label
_atom_site_type_symbol
_atom_site_fract_x
_atom_site_fract_y
_atom_site_fract_z
_atom_site_occupancy
Ba1 Ba 0.176 0.000 0.021 1
In1 In 0.005 0.250 0.545 1
Br1 Br 0.001 0.250 0.979 1
Br2 Br 0.113 0.527 0.664 1
Br3 Br 0.190 0.250 0.318 1
Br4 Br 0.214 0.750 0.301 1
```

12.
## Ba3In5Br12 (PBE-GGA)

Data for Ba3In5Br12 after structural relaxation.

CIF file:
```
data_Ba3In5Br12
_cell_length_a 18.818
_cell_length_b 18.818
_cell_length_c 18.818
_cell_angle_alpha 90.00
_cell_angle_beta 90.00
_cell_angle_gamma 90.00
_space_group_name_H-M_alt 'I a -3 d'
_space_group_IT_number 230
_space_group_name_Hall '-I 4bd 2c 3'
loop_
_atom_site_label
_atom_site_type_symbol
_atom_site_fract_x
_atom_site_fract_y
_atom_site_fract_z
_atom_site_occupancy
Ba1 Ba 0.000 0.250 0.125 1
In1 In 0.000 0.000 0.000 1
In2 In 0.000 0.250 0.375 1
Br1 Br 0.017 0.071 0.651 1
```

We obtain uncorrected formation energy values of -0.730; -1.180; -0.625; -1.164; -0.783; -1.138; -1.386; -0.786; -0.816; -1.163; -1.764; -1.266 eV per atom for the records listed above, in that order.